Entry from Alexandria via LeMat-Bulk: a relaxed structure of NdHoTh2Sb4 (GGA-PBE).

a = 7.731 Å, b = 4.487 Å, c = 7.771 Å
α = 90.00°, β = 109.64°, γ = 90.00°
Sites, in units of the cell vectors:
Nd  0.000  0.000  0.000
Ho  0.000  0.500  0.500
Th  0.500  0.000  0.500
Th  0.500  0.500  0.000
Sb  0.244  0.000  0.744
Sb  0.247  0.500  0.253
Sb  0.753  0.500  0.747
Sb  0.756  0.000  0.256

## Properties
The calculation puts the theoretical density at 8243 kg/m3. The uncorrected formation energy is -8.253 eV/f.u. The space group is P2/m. Its magnetic moment is 0.00 μB per formula unit. The density of states at the Fermi level is 4.4 states/eV/f.u.

Entry from Alexandria via LeMat-Bulk: a relaxed structure of Na2ZrP (GGA-PBE).

a = 6.979 Å, b = 6.979 Å, c = 6.979 Å
α = 97.74°, β = 97.74°, γ = 136.95°
Sites, in units of the cell vectors:
Na  0.040  0.625  0.915
Na  0.375  0.290  0.415
Na  0.710  0.125  0.085
Na  0.875  0.960  0.585
Zr  0.250  0.750  0.500
Zr  0.500  0.500  0.000
P  0.000  0.000  0.000
P  0.750  0.250  0.500

## Properties
The calculation puts the theoretical density at 2587 kg/m3. The space group is I-42d. Its magnetic moment is 1.00 μB per formula unit. The density of states at the Fermi level is 3.1 states/eV/f.u. The value obtained for the formation energy from the elements is 0.71 eV per formula unit.

Entry from Alexandria via LeMat-Bulk: a relaxed structure of Li2MgTc (GGA-PBE).

a = 4.528 Å, b = 4.528 Å, c = 4.528 Å
α = 60.00°, β = 60.00°, γ = 60.00°
Sites, in units of the cell vectors:
Li  0.000  0.000  0.000
Li  0.250  0.250  0.250
Mg  0.500  0.500  0.500
Tc  0.750  0.750  0.750

## Properties
The calculation puts the theoretical density at 3445 kg/m3. The space group is F-43m. Its magnetic moment is 1.92 μB per formula unit. The density of states at the Fermi level is 2.2 states/eV/f.u. The value obtained for the formation energy from the elements is 1.81 eV per formula unit.

Entry from Alexandria via LeMat-Bulk: a relaxed structure of SmHoZnGe (GGA-PBE).

a = 5.063 Å, b = 5.063 Å, c = 5.063 Å
α = 60.00°, β = 60.00°, γ = 60.00°
Sites, in units of the cell vectors:
Sm  0.000  0.000  0.000
Ho  0.500  0.500  0.500
Zn  0.250  0.250  0.250
Ge  0.750  0.750  0.750

## Properties
The calculation puts the theoretical density at 8204 kg/m3. The excess energy over the best structure of this formula in the dataset comes out at 0.082 eV/atom. The space group is F-43m. Its magnetic moment is 0.00 μB per formula unit. The density of states at the Fermi level is 2.5 states/eV/f.u. The value obtained for the formation energy from the elements is -2.09 eV per formula unit.

Entry from Alexandria via LeMat-Bulk: a relaxed structure of AlPS3 (GGA-PBE).

a = 4.500 Å, b = 4.500 Å, c = 4.500 Å
α = 90.00°, β = 90.00°, γ = 90.00°
Sites, in units of the cell vectors:
Al  0.000  0.000  0.000
P  0.500  0.500  0.500
S  0.000  0.500  0.500
S  0.500  0.000  0.500
S  0.500  0.500  0.000

## Properties
The calculation puts the theoretical density at 2809 kg/m3. The uncorrected formation energy is 1.768 eV/f.u. The excess energy over the best structure of this formula in the dataset comes out at 0.881 eV/atom. The space group is Pm-3m. Its magnetic moment is 0.00 μB per formula unit. The density of states at the Fermi level is 3.2 states/eV/f.u.

Entry from Alexandria via LeMat-Bulk: a relaxed structure of CuN2O (GGA-PBE).

a = 3.218 Å, b = 3.218 Å, c = 7.924 Å
α = 85.77°, β = 85.30°, γ = 60.04°
Sites, in units of the cell vectors:
Cu  0.000  0.000  0.000
N  0.013  0.020  0.430
N  0.992  0.006  0.571
O  0.667  0.666  0.000

## Properties
The calculation puts the theoretical density at 2523 kg/m3. The uncorrected formation energy is -0.557 eV/f.u. The space group is P1. Its magnetic moment is 0.23 μB per formula unit. The density of states at the Fermi level is 3.3 states/eV/f.u.